Dy5PtSe4: relaxed, PBE.

a b c (Å): 4.066 4.066 29.276
angles (deg): 90.00 90.00 90.00
Space group I4/mmm (No. 139)
Inequivalent atoms, fractional coordinates:
Dy (0.000, 0.000, 0.000) [2 per cell]
Dy (0.000, 0.000, 0.204) [4 per cell]
Dy (0.000, 0.000, 0.403) [4 per cell]
Pt (0.000, 0.000, 0.500) [2 per cell]
Se (0.000, 0.000, 0.104) [4 per cell]
Se (0.000, 0.000, 0.303) [4 per cell]

Its uncorrected formation energy is -1.6446 eV per atom. Its crystal system is tetragonal. As for the calculated total energy: -118.9 eV/cell.